{"formula": "Ba3In2Sn4Rh2", "functional": "PBE", "state": "optimized geometry", "ef_ev_per_atom": -0.43, "vol_a3_per_atom": 31.91, "dft_energy_ev_per_atom": -4.248, "cell": [[-4.070, 0.520, 2.319], [1.523, -4.309, -1.150], [8.914, -1.091, 15.888]], "species": ["Ba", "Ba", "Ba", "In", "In", "Sn", "Sn", "Sn", "Sn", "Rh", "Rh"], "fractional_positions": [[0.000, 0.000, 0.696], [0.000, 0.000, 0.000], [0.000, 0.000, 0.304], [0.667, 0.333, 0.830], [0.333, 0.667, 0.170], [0.667, 0.333, 0.127], [0.333, 0.667, 0.873], [0.667, 0.333, 0.564], [0.333, 0.667, 0.436], [0.667, 0.333, 0.421], [0.333, 0.667, 0.579]]}